# Pr2Be4AlPt3, relaxed, DFT PBE
# DFT formation energy: -0.691 eV/atom
data_Pr2Be4AlPt3
_space_group_name_H-M_alt 'P 1'
_space_group_IT_number 1
_cell_length_a 4.006
_cell_length_b 4.006
_cell_length_c 10.251
_cell_angle_alpha 90.00
_cell_angle_beta 90.00
_cell_angle_gamma 90.00
loop_
_space_group_symop_operation_xyz
'x,y,z'
loop_
_atom_site_label
_atom_site_fract_x
_atom_site_fract_y
_atom_site_fract_z
_atom_site_occupancy
Pr1 0.500 0.000 0.246 1
Pr2 0.000 0.500 0.754 1
Be1 0.500 0.500 0.000 1
Be2 0.000 0.000 0.000 1
Be3 0.500 0.000 0.636 1
Be4 0.000 0.500 0.364 1
Al1 0.500 0.500 0.500 1
Pt1 0.000 0.000 0.500 1
Pt2 0.500 0.000 0.883 1
Pt3 0.000 0.500 0.117 1